[1]
Here is a geometry-optimized CsScIr3 structure from the Alexandria database. Energies are from GGA-PBE.

Cell: 4.959 4.959 4.959 Å, 90.00 90.00 90.00°
Element x y z (fractional)
Cs 0.000 0.000 0.000
Sc 0.500 0.500 0.500
Ir 0.000 0.000 0.500
Ir 0.000 0.500 0.000
Ir 0.500 0.000 0.000

Calculated values
ΔE_f	1167	kJ/mol of formula units
energy above the most stable polymorph in this dataset	1026	meV/atom

=====

[2]
Here is a geometry-optimized CsScIr3 structure from the Alexandria database. Energies are from GGA-PBE.

Cell: 4.972 4.972 4.972 Å, 90.00 90.00 90.00°
Element x y z (fractional)
Cs 0.000 0.000 0.000
Sc 0.500 0.500 0.500
Ir 0.000 0.500 0.500
Ir 0.500 0.000 0.500
Ir 0.500 0.500 0.000

Calculated values
ΔE_f	672	kJ/mol of formula units
energy above the most stable polymorph in this dataset	0	meV/atom

=====

[3]
Here is a geometry-optimized Cs2ScIr structure from the Alexandria database. Energies are from GGA-PBE.

Cell: 9.824 9.824 9.824 Å, 93.52 93.52 151.32°
Element x y z (fractional)
Cs 0.375 0.208 0.333
Cs 0.792 0.125 0.167
Cs 0.875 0.042 0.667
Cs 0.958 0.625 0.833
Sc 0.250 0.750 0.500
Sc 0.500 0.500 0.000
Ir 0.000 0.000 0.000
Ir 0.750 0.250 0.500

Calculated values
ΔE_f	182	kJ/mol of formula units
energy above the most stable polymorph in this dataset	0	meV/atom

=====

[4]
Here is a geometry-optimized Cs2ScIr structure from the Alexandria database. Energies are from GGA-PBE.

Cell: 5.530 5.530 5.530 Å, 60.00 60.00 60.00°
Element x y z (fractional)
Cs 0.250 0.250 0.250
Cs 0.750 0.750 0.750
Sc 0.000 0.000 0.000
Ir 0.500 0.500 0.500

Calculated values
ΔE_f	525	kJ/mol of formula units
energy above the most stable polymorph in this dataset	890	meV/atom

=====

[5]
Here is a geometry-optimized CsSc2IrSe structure from the Alexandria database. Energies are from GGA-PBE.

Cell: 5.042 5.042 5.812 Å, 90.00 90.00 90.00°
Element x y z (fractional)
Cs 0.000 0.000 0.000
Sc 0.000 0.500 0.500
Sc 0.500 0.000 0.500
Ir 0.500 0.500 0.500
Se 0.500 0.500 0.000

Calculated values
VASP energy	-0.19507	Ha/atom

=====

[6]
Here is a geometry-optimized CsZrSc2Ir structure from the Alexandria database. Energies are from GGA-PBE.

Cell: 5.112 5.112 5.493 Å, 90.00 90.00 90.00°
Element x y z (fractional)
Cs 0.000 0.000 0.000
Zr 0.000 0.000 0.500
Sc 0.000 0.500 0.500
Sc 0.500 0.000 0.500
Ir 0.500 0.500 0.000

Calculated values
ΔE_f	812	kJ/mol of formula units

=====

Per-record M_tot, μB per atom: 0.00, 0.00, 0.00, 0.00, 0.00, 0.01